[1]
Density functional theory data (meta-GGA SCAN) for a PBEsol-optimized structure of BaSrSc2.

```
data_BaSrSc2
_chemical_formula_sum 'Ba1 Sr1 Sc2'
_space_group_name_H-M_alt 'P 1'
_space_group_IT_number 1
_space_group_name_Hall 'P 1'
_cell_length_a 5.7950
_cell_length_b 5.7950
_cell_length_c 5.7950
_cell_angle_alpha 60.00
_cell_angle_beta 60.00
_cell_angle_gamma 60.00
loop_
_atom_site_label
_atom_site_type_symbol
_atom_site_fract_x
_atom_site_fract_y
_atom_site_fract_z
Ba1 Ba 0.0000 0.0000 0.0000
Sr1 Sr 0.7500 0.7500 0.7500
Sc1 Sc 0.2500 0.2500 0.2500
Sc2 Sc 0.5000 0.5000 0.5000
```

## Properties
Volume: 34.4 Å³/atom
E_form: 0.44 eV/atom
Spin magnetization: 0.02 μB per cell
Distance to the lowest polymorph of the same formula: 0.19 eV/f.u.

[2]
Density functional theory data (meta-GGA SCAN) for a PBEsol-optimized structure of BaSrSc2.

```
data_BaSrSc2
_chemical_formula_sum 'Ba1 Sr1 Sc2'
_space_group_name_H-M_alt 'P 1'
_space_group_IT_number 1
_space_group_name_Hall 'P 1'
_cell_length_a 6.7940
_cell_length_b 6.7940
_cell_length_c 6.2349
_cell_angle_alpha 110.13
_cell_angle_beta 110.13
_cell_angle_gamma 31.75
loop_
_atom_site_label
_atom_site_type_symbol
_atom_site_fract_x
_atom_site_fract_y
_atom_site_fract_z
Ba1 Ba 0.0000 0.0000 0.0000
Sr1 Sr 0.7912 0.7912 0.3623
Sc1 Sc 0.2405 0.2405 0.8155
Sc2 Sc 0.5505 0.5505 0.5433
```

## Properties
Volume: 35.4 Å³/atom
E_form: 0.39 eV/atom
Spin magnetization: 0.00 μB per cell
Distance to the lowest polymorph of the same formula: 0.00 eV/f.u.

[3]
Density functional theory data (meta-GGA SCAN) for a PBEsol-optimized structure of BaSrSc2.

```
data_BaSrSc2
_chemical_formula_sum 'Ba1 Sr1 Sc2'
_space_group_name_H-M_alt 'P 1'
_space_group_IT_number 1
_space_group_name_Hall 'P 1'
_cell_length_a 12.7081
_cell_length_b 12.7081
_cell_length_c 12.7081
_cell_angle_alpha 15.91
_cell_angle_beta 15.91
_cell_angle_gamma 15.91
loop_
_atom_site_label
_atom_site_type_symbol
_atom_site_fract_x
_atom_site_fract_y
_atom_site_fract_z
Ba1 Ba 0.0000 0.0000 0.0000
Sr1 Sr 0.5000 0.5000 0.5000
Sc1 Sc 0.4133 0.4133 0.4133
Sc2 Sc 0.5867 0.5867 0.5867
```

## Properties
Volume: 33.6 Å³/atom
E_form: 0.61 eV/atom
Spin magnetization: 0.00 μB per cell
Distance to the lowest polymorph of the same formula: 0.88 eV/f.u.

[4]
Density functional theory data (meta-GGA SCAN) for a PBEsol-optimized structure of BaSc3Ta.

```
data_BaSc3Ta
_chemical_formula_sum 'Ba1 Sc3 Ta1'
_space_group_name_H-M_alt 'P 1'
_space_group_IT_number 1
_space_group_name_Hall 'P 1'
_cell_length_a 5.2943
_cell_length_b 5.2943
_cell_length_c 5.2943
_cell_angle_alpha 90.00
_cell_angle_beta 90.00
_cell_angle_gamma 90.00
loop_
_atom_site_label
_atom_site_type_symbol
_atom_site_fract_x
_atom_site_fract_y
_atom_site_fract_z
Ba1 Ba 0.0000 0.0000 0.0000
Sc1 Sc 0.0000 0.5000 0.5000
Sc2 Sc 0.5000 0.0000 0.5000
Sc3 Sc 0.5000 0.5000 0.0000
Ta1 Ta 0.5000 0.5000 0.5000
```

## Properties
Volume: 29.7 Å³/atom
E_form: 0.51 eV/atom
Spin magnetization: 1.20 μB per cell

[5]
Density functional theory data (meta-GGA SCAN) for a PBEsol-optimized structure of BaSc2Tc.

```
data_BaSc2Tc
_chemical_formula_sum 'Ba1 Sc2 Tc1'
_space_group_name_H-M_alt 'P 1'
_space_group_IT_number 1
_space_group_name_Hall 'P 1'
_cell_length_a 4.3961
_cell_length_b 4.4093
_cell_length_c 4.6729
_cell_angle_alpha 90.00
_cell_angle_beta 90.00
_cell_angle_gamma 90.00
loop_
_atom_site_label
_atom_site_type_symbol
_atom_site_fract_x
_atom_site_fract_y
_atom_site_fract_z
Ba1 Ba 0.0000 0.0000 0.0000
Sc1 Sc 0.0000 0.5000 0.5000
Sc2 Sc 0.5000 0.0000 0.5000
Tc1 Tc 0.5000 0.5000 0.0000
```

## Properties
Volume: 22.6 Å³/atom
E_form: 0.70 eV/atom
Spin magnetization: 0.62 μB per cell
Distance to the lowest polymorph of the same formula: 2.74 eV/f.u.

[6]
Density functional theory data (meta-GGA SCAN) for a PBEsol-optimized structure of BaSc2Tc.

```
data_BaSc2Tc
_chemical_formula_sum 'Ba1 Sc2 Tc1'
_space_group_name_H-M_alt 'P 1'
_space_group_IT_number 1
_space_group_name_Hall 'P 1'
_cell_length_a 3.3028
_cell_length_b 3.3028
_cell_length_c 9.2689
_cell_angle_alpha 90.00
_cell_angle_beta 90.00
_cell_angle_gamma 90.11
loop_
_atom_site_label
_atom_site_type_symbol
_atom_site_fract_x
_atom_site_fract_y
_atom_site_fract_z
Ba1 Ba 0.0000 0.0000 0.0000
Sc1 Sc 0.5000 0.5000 0.3407
Sc2 Sc 0.5000 0.5000 0.6593
Tc1 Tc 0.0000 0.0000 0.5000
```

## Properties
Volume: 25.3 Å³/atom
E_form: 0.02 eV/atom
Spin magnetization: 0.00 μB per cell
Distance to the lowest polymorph of the same formula: 0.00 eV/f.u.

[7]
Density functional theory data (meta-GGA SCAN) for a PBEsol-optimized structure of BaSc2Tc.

```
data_BaSc2Tc
_chemical_formula_sum 'Ba1 Sc2 Tc1'
_space_group_name_H-M_alt 'P 1'
_space_group_IT_number 1
_space_group_name_Hall 'P 1'
_cell_length_a 5.1061
_cell_length_b 5.1061
_cell_length_c 5.1061
_cell_angle_alpha 122.60
_cell_angle_beta 122.60
_cell_angle_gamma 85.55
loop_
_atom_site_label
_atom_site_type_symbol
_atom_site_fract_x
_atom_site_fract_y
_atom_site_fract_z
Ba1 Ba 0.0000 0.0000 0.0000
Sc1 Sc 0.5000 0.5000 0.0000
Sc2 Sc 0.7500 0.2500 0.5000
Tc1 Tc 0.2500 0.7500 0.5000
```

## Properties
Volume: 22.5 Å³/atom
E_form: 0.68 eV/atom
Spin magnetization: 0.00 μB per cell
Distance to the lowest polymorph of the same formula: 2.67 eV/f.u.

[8]
Density functional theory data (meta-GGA SCAN) for a PBEsol-optimized structure of Ba2ScTe.

```
data_Ba2ScTe
_chemical_formula_sum 'Ba2 Sc1 Te1'
_space_group_name_H-M_alt 'P 1'
_space_group_IT_number 1
_space_group_name_Hall 'P 1'
_cell_length_a 5.7109
_cell_length_b 5.7109
_cell_length_c 5.7109
_cell_angle_alpha 60.00
_cell_angle_beta 60.00
_cell_angle_gamma 60.00
loop_
_atom_site_label
_atom_site_type_symbol
_atom_site_fract_x
_atom_site_fract_y
_atom_site_fract_z
Ba1 Ba 0.0000 0.0000 0.0000
Ba2 Ba 0.2500 0.2500 0.2500
Sc1 Sc 0.5000 0.5000 0.5000
Te1 Te 0.7500 0.7500 0.7500
```

## Properties
Volume: 32.9 Å³/atom
Spin magnetization: 4.56 μB per cell
Energy relative to the elements, uncorrected: -186 meV/atom

[9]
Density functional theory data (meta-GGA SCAN) for a PBEsol-optimized structure of Ba2ScTe.

```
data_Ba2ScTe
_chemical_formula_sum 'Ba2 Sc1 Te1'
_space_group_name_H-M_alt 'P 1'
_space_group_IT_number 1
_space_group_name_Hall 'P 1'
_cell_length_a 7.0969
_cell_length_b 7.0969
_cell_length_c 7.0969
_cell_angle_alpha 146.54
_cell_angle_beta 131.42
_cell_angle_gamma 60.28
loop_
_atom_site_label
_atom_site_type_symbol
_atom_site_fract_x
_atom_site_fract_y
_atom_site_fract_z
Ba1 Ba 0.0000 0.0000 0.0000
Ba2 Ba 0.6963 0.1963 0.5000
Sc1 Sc 0.2824 0.7824 0.5000
Te1 Te 0.4528 0.4528 0.0000
```

## Properties
Volume: 36.6 Å³/atom
Spin magnetization: 1.24 μB per cell
Energy relative to the elements, uncorrected: -572 meV/atom

[10]
Density functional theory data (meta-GGA SCAN) for a PBEsol-optimized structure of BaSc2Tl.

```
data_BaSc2Tl
_chemical_formula_sum 'Ba1 Sc2 Tl1'
_space_group_name_H-M_alt 'P 1'
_space_group_IT_number 1
_space_group_name_Hall 'P 1'
_cell_length_a 5.8894
_cell_length_b 5.8894
_cell_length_c 5.8894
_cell_angle_alpha 132.32
_cell_angle_beta 132.32
_cell_angle_gamma 69.72
loop_
_atom_site_label
_atom_site_type_symbol
_atom_site_fract_x
_atom_site_fract_y
_atom_site_fract_z
Ba1 Ba 0.0000 0.0000 0.0000
Sc1 Sc 0.5000 0.5000 0.0000
Sc2 Sc 0.7500 0.2500 0.5000
Tl1 Tl 0.2500 0.7500 0.5000
```

## Properties
Volume: 27.4 Å³/atom
E_form: 0.06 eV/atom
Spin magnetization: 0.96 μB per cell
Distance to the lowest polymorph of the same formula: 0.09 eV/f.u.

[11]
Density functional theory data (meta-GGA SCAN) for a PBEsol-optimized structure of BaSc2Tl.

```
data_BaSc2Tl
_chemical_formula_sum 'Ba1 Sc2 Tl1'
_space_group_name_H-M_alt 'P 1'
_space_group_IT_number 1
_space_group_name_Hall 'P 1'
_cell_length_a 5.4355
_cell_length_b 5.4355
_cell_length_c 5.4355
_cell_angle_alpha 60.00
_cell_angle_beta 60.00
_cell_angle_gamma 60.00
loop_
_atom_site_label
_atom_site_type_symbol
_atom_site_fract_x
_atom_site_fract_y
_atom_site_fract_z
Ba1 Ba 0.0000 0.0000 0.0000
Sc1 Sc 0.2500 0.2500 0.2500
Sc2 Sc 0.5000 0.5000 0.5000
Tl1 Tl 0.7500 0.7500 0.7500
```

## Properties
Volume: 28.4 Å³/atom
E_form: 0.07 eV/atom
Spin magnetization: 2.47 μB per cell
Distance to the lowest polymorph of the same formula: 0.12 eV/f.u.

[12]
Density functional theory data (meta-GGA SCAN) for a PBEsol-optimized structure of BaSc2Tl.

```
data_BaSc2Tl
_chemical_formula_sum 'Ba1 Sc2 Tl1'
_space_group_name_H-M_alt 'P 1'
_space_group_IT_number 1
_space_group_name_Hall 'P 1'
_cell_length_a 4.8575
_cell_length_b 4.8575
_cell_length_c 4.6893
_cell_angle_alpha 90.00
_cell_angle_beta 90.00
_cell_angle_gamma 90.00
loop_
_atom_site_label
_atom_site_type_symbol
_atom_site_fract_x
_atom_site_fract_y
_atom_site_fract_z
Ba1 Ba 0.0000 0.0000 0.0000
Sc1 Sc 0.0000 0.5000 0.5000
Sc2 Sc 0.5000 0.0000 0.5000
Tl1 Tl 0.5000 0.5000 0.0000
```

## Properties
Volume: 27.7 Å³/atom
E_form: 0.06 eV/atom
Spin magnetization: 0.98 μB per cell
Distance to the lowest polymorph of the same formula: 0.07 eV/f.u.

Please write out number 7 again, unchanged.
Density functional theory data (meta-GGA SCAN) for a PBEsol-optimized structure of BaSc2Tc.

```
data_BaSc2Tc
_chemical_formula_sum 'Ba1 Sc2 Tc1'
_space_group_name_H-M_alt 'P 1'
_space_group_IT_number 1
_space_group_name_Hall 'P 1'
_cell_length_a 5.1061
_cell_length_b 5.1061
_cell_length_c 5.1061
_cell_angle_alpha 122.60
_cell_angle_beta 122.60
_cell_angle_gamma 85.55
loop_
_atom_site_label
_atom_site_type_symbol
_atom_site_fract_x
_atom_site_fract_y
_atom_site_fract_z
Ba1 Ba 0.0000 0.0000 0.0000
Sc1 Sc 0.5000 0.5000 0.0000
Sc2 Sc 0.7500 0.2500 0.5000
Tc1 Tc 0.2500 0.7500 0.5000
```

## Properties
Volume: 22.5 Å³/atom
E_form: 0.68 eV/atom
Spin magnetization: 0.00 μB per cell
Distance to the lowest polymorph of the same formula: 2.67 eV/f.u.

What is the formula in the eleventh record? BaSc2Tl

Which value of spin magnetization does entry 10 give? 0.96 μB per cell

Number 9 is which compound? Ba2ScTe